Entry 1:
# MnCuRhO6 PBE+U relaxed
# Spin magnetization   1.2 μB/f.u.
# E   -0.44758 Ry per atom
data_MnCuRhO6
_chemical_formula_sum 'Mn2 Cu2 Rh2 O12'
_cell_length_a 4.9887
_cell_length_b 4.9887
_cell_length_c 8.6125
_cell_angle_alpha 90.00
_cell_angle_beta 90.00
_cell_angle_gamma 120.00
_symmetry_space_group_name_H-M 'P -3 1 c'
_symmetry_Int_Tables_number 163
_symmetry_space_group_name_Hall '-P 3 2c'
loop_
_atom_site_label
_atom_site_type_symbol
_atom_site_fract_x
_atom_site_fract_y
_atom_site_fract_z
_atom_site_occupancy
Mn1 Mn 0.3333 0.6667 0.2500 1
Cu1 Cu 0.0000 0.0000 0.0000 1
Rh1 Rh 0.3333 0.6667 0.7500 1
O1 O 0.0067 0.3545 0.1260 1

Entry 2:
# MnCuRhO4 PBE+U relaxed
# Spin magnetization   3.0 μB/f.u.
# E   -0.47957 Ry per atom
data_MnCuRhO4
_chemical_formula_sum 'Mn4 Cu4 Rh4 O16'
_cell_length_a 5.9937
_cell_length_b 6.1103
_cell_length_c 8.5711
_cell_angle_alpha 90.00
_cell_angle_beta 90.00
_cell_angle_gamma 90.00
_symmetry_space_group_name_H-M 'I m m a'
_symmetry_Int_Tables_number 74
_symmetry_space_group_name_Hall '-I 2b 2'
loop_
_atom_site_label
_atom_site_type_symbol
_atom_site_fract_x
_atom_site_fract_y
_atom_site_fract_z
_atom_site_occupancy
Mn1 Mn 0.2500 0.2500 0.2500 1
Cu1 Cu 0.0000 0.2500 0.6334 1
Rh1 Rh 0.0000 0.0000 0.0000 1
O1 O 0.0000 0.0269 0.2406 1
O2 O 0.2288 0.2500 0.0021 1

Entry 3:
# MnCuRuO6 PBE+U relaxed
# Spin magnetization   3.7 μB/f.u.
# E   -0.47475 Ry per atom
data_MnCuRuO6
_chemical_formula_sum 'Mn2 Cu2 Ru2 O12'
_cell_length_a 4.9767
_cell_length_b 4.9767
_cell_length_c 8.7455
_cell_angle_alpha 90.00
_cell_angle_beta 90.00
_cell_angle_gamma 120.00
_symmetry_space_group_name_H-M 'P -3 1 c'
_symmetry_Int_Tables_number 163
_symmetry_space_group_name_Hall '-P 3 2c'
loop_
_atom_site_label
_atom_site_type_symbol
_atom_site_fract_x
_atom_site_fract_y
_atom_site_fract_z
_atom_site_occupancy
Mn1 Mn 0.3333 0.6667 0.2500 1
Cu1 Cu 0.0000 0.0000 0.0000 1
Ru1 Ru 0.3333 0.6667 0.7500 1
O1 O 0.0010 0.3528 0.1289 1

Entry 4:
# MnCuSO PBE+U relaxed
# Offset from the most stable computed form   199 meV per atom
# Spin magnetization   4.0 μB/f.u.
data_MnCuSO
_chemical_formula_sum 'Mn2 Cu2 S2 O2'
_cell_length_a 5.2184
_cell_length_b 5.7958
_cell_length_c 5.8489
_cell_angle_alpha 109.68
_cell_angle_beta 94.71
_cell_angle_gamma 97.02
_symmetry_space_group_name_H-M 'P 1'
_symmetry_Int_Tables_number 1
loop_
_symmetry_equiv_pos_as_xyz
'x,y,z'
loop_
_atom_site_label
_atom_site_type_symbol
_atom_site_fract_x
_atom_site_fract_y
_atom_site_fract_z
_atom_site_occupancy
Mn1 Mn 0.0000 0.0000 0.0000 1
Mn2 Mn 0.0970 0.9742 0.4973 1
Cu1 Cu 0.4875 0.8899 0.1141 1
Cu2 Cu 0.9931 0.4853 0.8221 1
S1 S 0.2736 0.7270 0.7167 1
S2 S 0.7899 0.6776 0.1491 1
O1 O 0.2801 0.1147 0.2821 1
O2 O 0.9056 0.1493 0.7607 1

Entry 5:
# MnCuSO PBE+U relaxed
# Offset from the most stable computed form   116 meV per atom
# Spin magnetization   4.0 μB/f.u.
data_MnCuSO
_chemical_formula_sum 'Mn2 Cu2 S2 O2'
_cell_length_a 5.4933
_cell_length_b 5.5069
_cell_length_c 5.6159
_cell_angle_alpha 118.40
_cell_angle_beta 116.96
_cell_angle_gamma 90.28
_symmetry_space_group_name_H-M 'P 1'
_symmetry_Int_Tables_number 1
loop_
_symmetry_equiv_pos_as_xyz
'x,y,z'
loop_
_atom_site_label
_atom_site_type_symbol
_atom_site_fract_x
_atom_site_fract_y
_atom_site_fract_z
_atom_site_occupancy
Mn1 Mn 0.0000 0.0000 0.0000 1
Mn2 Mn 0.3790 0.6419 0.4906 1
Cu1 Cu 0.1913 0.2825 0.7726 1
Cu2 Cu 0.7685 0.4698 0.2356 1
S1 S 0.4443 0.0474 0.9797 1
S2 S 0.9627 0.5556 0.9961 1
O1 O 0.1599 0.3160 0.4387 1
O2 O 0.7345 0.7942 0.5502 1

Entry 6:
# MnCuSO PBE+U relaxed
# Offset from the most stable computed form   43 meV per atom
# Spin magnetization   4.4 μB/f.u.
data_MnCuSO
_chemical_formula_sum 'Mn2 Cu2 S2 O2'
_cell_length_a 3.8119
_cell_length_b 3.8119
_cell_length_c 8.0493
_cell_angle_alpha 90.00
_cell_angle_beta 90.00
_cell_angle_gamma 90.00
_symmetry_space_group_name_H-M 'P 4/n m m'
_symmetry_Int_Tables_number 129
loop_
_symmetry_equiv_pos_as_xyz
'x,y,z'
'-x,-y,-z'
'-y+1/2,x,z'
'y+1/2,-x,-z'
'-x+1/2,-y+1/2,z'
'x+1/2,y+1/2,-z'
'y,-x+1/2,z'
'-y,x+1/2,-z'
'x+1/2,-y,-z'
'-x+1/2,y,z'
'-y,-x,-z'
'y,x,z'
'-x,y+1/2,-z'
'x,-y+1/2,z'
'y+1/2,x+1/2,-z'
'-y+1/2,-x+1/2,z'
loop_
_atom_site_label
_atom_site_type_symbol
_atom_site_fract_x
_atom_site_fract_y
_atom_site_fract_z
_atom_site_occupancy
Mn1 Mn 0.2500 0.2500 0.0894 1
Cu1 Cu 0.2500 0.7500 0.5000 1
S1 S 0.2500 0.2500 0.6675 1
O1 O 0.2500 0.7500 0.0000 1